DFT (GGA+U) results for crystalline LaTl2VF at its relaxed geometry.

Its magnetic moment is 0.3 Bohr magnetons per cell. The value obtained for the calculated total energy is -4.010 eV/atom.

Cell and atoms, written as POSCAR:
```
LaTl2VF
1.0
5.591 0.000 0.000
0.000 3.991 0.000
0.000 0.000 5.591
Tl V F La
2 1 1 1
direct
0.000 0.000 0.500 Tl
0.500 0.000 0.000 Tl
0.000 0.500 0.000 V
0.000 0.000 0.000 F
0.500 0.500 0.500 La
```